Entry 1:
A geometry-optimized AlMoW2 structure, computed with PBE-GGA.

- space group = Cmm2, No. 35
- DFT total energy (eV/atom) = -10.159

Unit cell a=2.7544 b=2.7544 c=8.7818 alpha=90.00 beta=90.00 gamma=108.64
Last column: nearest neighbours and their distance in Å.
Fractional coordinates of all 4 atoms:
Mo: 0.5000 0.5000 0.7466  2 Al 2.69, 2 W 2.74, 4 Mo 2.75
W: 0.0000 0.0000 0.9990  2 Mo 2.74, 6 W 2.75
W: 0.5000 0.5000 0.2530  2 Al 2.71, 6 W 2.75
Al: 0.0000 0.0000 0.5013  2 Mo 2.69, 2 W 2.71, 4 Al 2.75

***

Entry 2:
A geometry-optimized Ta2NbI structure, computed with PBE-GGA.

- excess energy over the best structure of this formula in the dataset (eV per formula unit) = 0.786
- E_form (uncorrected) (meV/atom) = 1008
- space group = I-42d, No. 122
- DFT total energy (eV/atom) = -7.823

Unit cell a=4.0714 b=4.0714 c=10.5194 alpha=78.84 beta=78.84 gamma=90.00
Last column: nearest neighbours and their distance in Å.
Fractional coordinates of all 8 atoms:
Ta: 0.8750 0.8739 0.7500  4 Ta 2.87-2.89, 2 Nb 2.91, 2 I 2.91
Ta: 0.6239 0.1250 0.2500  4 Ta 2.87-2.89, 2 Nb 2.91, 2 I 2.91
Ta: 0.3750 0.3761 0.7500  4 Ta 2.87-2.89, 2 Nb 2.91, 2 I 2.91
Ta: 0.1261 0.6250 0.2500  4 Ta 2.87-2.89, 2 Nb 2.91, 2 I 2.91
I: 0.0000 0.0000 0.0000  4 Nb 2.88, 4 Ta 2.91
I: 0.7500 0.2500 0.5000  4 Nb 2.88, 4 Ta 2.91
Nb: 0.5000 0.5000 0.0000  4 I 2.88, 4 Ta 2.91
Nb: 0.2500 0.7500 0.5000  4 I 2.88, 4 Ta 2.91

***

Entry 3:
A geometry-optimized Tm2Zn2Pd5 structure, computed with PBE-GGA.

- space group = Imma, No. 74
- DFT total energy (eV/atom) = -4.857

Unit cell a=7.2086 b=5.8049 c=8.9719 alpha=108.87 beta=113.69 gamma=90.00
Last column: nearest neighbours and their distance in Å.
Fractional coordinates of all 18 atoms:
Pd: 0.5914 0.1284 0.6824  2 Zn 2.46
Pd: 0.7966 0.2873 0.5000  2 Zn 2.72, 3 Tm 2.90-2.92, 8 Pd 2.94-2.96
Pd: 0.1382 0.1756 0.7766  2 Zn 2.58, 2 Tm 2.88
Pd: 0.8618 0.3990 0.2234  2 Zn 2.58, 2 Tm 2.88
Pd: 0.5910 0.6284 0.6824  2 Zn 2.46
Pd: 0.4090 0.9460 0.3176  2 Zn 2.46
Pd: 0.1384 0.6756 0.7766  2 Zn 2.58, 2 Tm 2.88
Pd: 0.4086 0.4460 0.3176  2 Zn 2.46
Pd: 0.8616 0.8990 0.2234  2 Zn 2.58, 2 Tm 2.88
Pd: 0.2034 0.7873 0.5000  2 Zn 2.72, 3 Tm 2.90-2.92, 8 Pd 2.94-2.96
Zn: 0.8871 0.4604 0.8458  1 Zn 2.43, 4 Pd 2.46-2.58
Zn: 0.5413 0.1147 0.1542  1 Zn 2.43, 4 Pd 2.46-2.58
Zn: 0.1129 0.6147 0.1542  1 Zn 2.43, 4 Pd 2.46-2.58
Zn: 0.4587 0.9604 0.8458  1 Zn 2.43, 4 Pd 2.46-2.58
Tm: 0.5000 0.5374 0.0000  4 Pd 2.88, 4 Zn 3.15
Tm: 0.2018 0.2871 0.5000  11 Pd 2.90-2.96
Tm: 0.0000 0.0374 0.0000  4 Pd 2.88, 4 Zn 3.15
Tm: 0.7982 0.7871 0.5000  11 Pd 2.90-2.96

***

Entry 4:
A geometry-optimized SrHg2W structure, computed with PBE-GGA.

- excess energy over the best structure of this formula in the dataset (eV per formula unit) = 0.549
- space group = Cm, No. 8
- DFT total energy (eV/atom) = -3.143

Unit cell a=5.9715 b=5.9715 c=5.4953 alpha=70.80 beta=70.80 gamma=30.13
Last column: nearest neighbours and their distance in Å.
Fractional coordinates of all 4 atoms:
Hg: 0.2483 0.2483 0.3122  2 W 2.97, 3 Sr 3.06-3.24, 2 Hg 3.10
Hg: 0.0195 0.0195 0.8986  3 W 2.96-3.26, 2 Hg 3.10, 4 Sr 3.11-3.24
Sr: 0.4877 0.4877 0.4346  7 Hg 3.06-3.24, 2 Sr 3.10, 2 W 3.35
W: 0.7445 0.7445 0.8546  5 Hg 2.96-3.26, 2 W 3.10

***

Entry 5:
A geometry-optimized PmNd2Ge2 structure, computed with PBE-GGA.

- excess energy over the best structure of this formula in the dataset (eV per formula unit) = 0.000
- space group = P4/mbm, No. 127
- DFT total energy (eV/atom) = -5.447

Unit cell a=4.3691 b=7.8598 c=7.8598 alpha=90.00 beta=90.00 gamma=90.00
Last column: nearest neighbours and their distance in Å.
Fractional coordinates of all 10 atoms:
Ge: 0.0000 0.3798 0.8798  1 Ge 2.67
Ge: 0.0000 0.8798 0.6202  1 Ge 2.67
Ge: 0.0000 0.1202 0.3798  1 Ge 2.67
Ge: 0.0000 0.6202 0.1202  1 Ge 2.67
Nd: 0.5000 0.1741 0.6741  6 Ge 3.16-3.21
Nd: 0.5000 0.8259 0.3259  6 Ge 3.16-3.21
Nd: 0.5000 0.6741 0.8259  6 Ge 3.16-3.21
Nd: 0.5000 0.3259 0.1741  6 Ge 3.16-3.21
Pm: 0.0000 0.5000 0.5000  4 Ge 3.13
Pm: 0.0000 0.0000 0.0000  4 Ge 3.13

***

Entry 6:
A geometry-optimized NbIrOF2 structure, computed with PBE-GGA.

- excess energy over the best structure of this formula in the dataset (eV per formula unit) = 0.000
- E_form (uncorrected) (meV/atom) = -732
- space group = P4/mmm, No. 123
- DFT total energy (eV/atom) = -6.258

Unit cell a=4.2184 b=4.2184 c=3.9702 alpha=90.00 beta=90.00 gamma=90.00
Last column: nearest neighbours and their distance in Å.
Fractional coordinates of all 5 atoms:
Ir: 0.5000 0.5000 0.5000  8 F 2.90, 4 O 2.98
Nb: 0.0000 0.0000 0.0000  2 O 1.99, 4 F 2.11
O: 0.0000 0.0000 0.5000  2 Nb 1.99
F: 0.5000 0.0000 0.0000  2 Nb 2.11
F: 0.0000 0.5000 0.0000  2 Nb 2.11